Density functional theory data (GGA-PBE) for BaSc2Ir after structural relaxation.

Results
D(E_F) = 1.029 states/eV per atom
Formation energy from the elements = -216 meV/atom
E_tot = -6.0778 eV/atom
Total magnetic moment = 0.00 μB/f.u.

Unit cell a=3.7229 b=3.7238 c=8.1613 alpha=90.00 beta=90.00 gamma=90.00
Positions (direct):
Sc 0.5000 0.5000 0.1702
Sc 0.0000 0.0000 0.9386
Ba 0.0000 0.0000 0.5340
Ir 0.5000 0.5000 0.8572